An optimized crystal structure of Cs2HgGePt. Source: the Alexandria database, functional GGA-PBE.

```
data_Cs2HgGePt
_space_group_name_H-M_alt 'P 1'
_space_group_IT_number 1
_space_group_name_Hall 'P 1'
_cell_length_a 6.920
_cell_length_b 6.920
_cell_length_c 4.719
_cell_angle_alpha 90.00
_cell_angle_beta 90.00
_cell_angle_gamma 90.00
loop_
_atom_site_label
_atom_site_type_symbol
_atom_site_fract_x
_atom_site_fract_y
_atom_site_fract_z
_atom_site_occupancy
Hg1 Hg 0.500 0.500 0.500 1
Cs1 Cs 0.500 0.000 0.000 1
Pt1 Pt 0.000 0.000 0.000 1
Ge1 Ge 0.000 0.000 0.500 1
Cs2 Cs 0.000 0.500 0.000 1
```

Calculated density   5395 kg/m3
DFT formation energy   -0.97 eV/f.u.
Energy   -2.7281 eV per atom
Fermi-level density of states   2.92 states/eV/cell
Symmetry   P4/mmm, No. 123
Spin magnetization   0.0 μB/f.u.

An optimized crystal structure of CsRbHg2Ge. Source: the Alexandria database, functional GGA-PBE.

```
data_CsRbHg2Ge
_space_group_name_H-M_alt 'P 1'
_space_group_IT_number 1
_space_group_name_Hall 'P 1'
_cell_length_a 5.797
_cell_length_b 5.797
_cell_length_c 6.462
_cell_angle_alpha 90.00
_cell_angle_beta 90.00
_cell_angle_gamma 90.00
loop_
_atom_site_label
_atom_site_type_symbol
_atom_site_fract_x
_atom_site_fract_y
_atom_site_fract_z
_atom_site_occupancy
Hg1 Hg 0.000 0.500 0.000 1
Hg2 Hg 0.500 0.000 0.000 1
Cs1 Cs 0.500 0.500 0.500 1
Rb1 Rb 0.000 0.000 0.500 1
Ge1 Ge 0.000 0.000 0.000 1
```

Calculated density   5293 kg/m3
DFT formation energy   0.11 eV/f.u.
Energy   -1.3856 eV per atom
Fermi-level density of states   4.02 states/eV/cell
Symmetry   P4/mmm, No. 123
Spin magnetization   0.0 μB/f.u.

An optimized crystal structure of Cs2Hg3Ge2S8. Source: the Alexandria database, functional GGA-PBE.

```
data_Cs2Hg3Ge2S8
_space_group_name_H-M_alt 'P 1'
_space_group_IT_number 1
_space_group_name_Hall 'P 1'
_cell_length_a 6.700
_cell_length_b 8.062
_cell_length_c 9.628
_cell_angle_alpha 109.50
_cell_angle_beta 91.67
_cell_angle_gamma 107.25
loop_
_atom_site_label
_atom_site_type_symbol
_atom_site_fract_x
_atom_site_fract_y
_atom_site_fract_z
_atom_site_occupancy
S1 S 0.840 0.341 0.634 1
S2 S 0.560 0.875 0.168 1
Hg1 Hg 0.808 0.077 0.395 1
S3 S 0.981 0.282 0.981 1
Hg2 Hg 0.192 0.923 0.605 1
Cs1 Cs 0.401 0.541 0.765 1
Ge1 Ge 0.762 0.148 0.761 1
S4 S 0.214 0.129 0.372 1
Hg3 Hg 0.000 0.000 0.000 1
Cs2 Cs 0.599 0.459 0.235 1
S5 S 0.786 0.871 0.628 1
S6 S 0.440 0.125 0.832 1
S7 S 0.160 0.659 0.366 1
Ge2 Ge 0.238 0.852 0.239 1
S8 S 0.019 0.718 0.019 1
```

Calculated density   4548 kg/m3
Formation energy without anion corrections   -0.54 eV per atom
Energy   -3.5330 eV per atom
Fermi-level density of states   0.00 states/eV/cell
Symmetry   P-1, No. 2
Spin magnetization   0.0 μB/f.u.

An optimized crystal structure of CsHg2GeS4. Source: the Alexandria database, functional GGA-PBE.

```
data_CsHg2GeS4
_space_group_name_H-M_alt 'P 1'
_space_group_IT_number 1
_space_group_name_Hall 'P 1'
_cell_length_a 7.122
_cell_length_b 7.122
_cell_length_c 6.727
_cell_angle_alpha 121.68
_cell_angle_beta 121.68
_cell_angle_gamma 90.45
loop_
_atom_site_label
_atom_site_type_symbol
_atom_site_fract_x
_atom_site_fract_y
_atom_site_fract_z
_atom_site_occupancy
S1 S 0.164 0.164 0.696 1
S2 S 0.820 0.455 0.276 1
Cs1 Cs 0.996 0.996 0.992 1
Ge1 Ge 0.498 0.498 0.996 1
S3 S 0.532 0.532 0.696 1
Hg1 Hg 0.267 0.767 0.535 1
Hg2 Hg 0.767 0.267 0.535 1
S4 S 0.455 0.820 0.276 1
```

Calculated density   5368 kg/m3
Formation energy without anion corrections   -0.40 eV per atom
Energy   -3.2230 eV per atom
Fermi-level density of states   2.58 states/eV/cell
Symmetry   Fmm2, No. 42
Spin magnetization   0.0 μB/f.u.